# 1
This record from Alexandria describes MnZn2WO6 after structural relaxation. The functional is PBE+U.

Summary:
Space-group type ... R3 (146)
Energy above the most stable polymorph in this dataset ... 0 meV/atom
Size of the total moment ... 5.0 μB per formula unit

abc: 5.6513 5.6513 5.6513
angles: 56.22 56.22 56.22
Sites, in units of the cell vectors:
Mn1 0.0000 0.0000 0.0000
Zn1 0.2890 0.2890 0.2890
Zn2 0.7523 0.7523 0.7523
W1 0.5016 0.5016 0.5016
O1 0.1232 0.4016 0.6998
O2 0.2580 0.8699 0.5845
O3 0.4016 0.6998 0.1232
O4 0.5845 0.2580 0.8699
O5 0.6998 0.1232 0.4016
O6 0.8699 0.5845 0.2580

***

# 2
This record from Alexandria describes ZrMn2WO after structural relaxation. The functional is PBE+U.

Summary:
Space-group type ... P4/mmm (123)
VASP energy ... -24.7 eV/cell
Size of the total moment ... 11.0 μB per formula unit

abc: 5.1690 5.1690 5.2594
angles: 90.00 90.00 90.00
Sites, in units of the cell vectors:
Zr1 0.0000 0.0000 0.0000
Mn1 0.0000 0.5000 0.0000
Mn2 0.5000 0.0000 0.0000
W1 0.0000 0.0000 0.5000
O1 0.5000 0.5000 0.5000

***

# 3
This record from Alexandria describes ZrMn2WO8 after structural relaxation. The functional is PBE+U.

Summary:
Space-group type ... Cmmm (65)
VASP energy ... -95.8 eV/cell
Size of the total moment ... 8.0 μB per formula unit

abc: 4.8764 4.8764 6.1465
angles: 90.00 90.00 94.49
Sites, in units of the cell vectors:
Zr1 0.0000 0.0000 0.0000
Mn1 0.5000 0.5000 0.2494
Mn2 0.5000 0.5000 0.7506
W1 0.0000 0.0000 0.5000
O1 0.1836 0.8164 0.2694
O2 0.1836 0.8164 0.7306
O3 0.3030 0.3030 0.5000
O4 0.3158 0.3158 0.0000
O5 0.6842 0.6842 0.0000
O6 0.6970 0.6970 0.5000
O7 0.8164 0.1836 0.2694
O8 0.8164 0.1836 0.7306

***

# 4
This record from Alexandria describes YMn3O after structural relaxation. The functional is PBE+U.

Summary:
Space-group type ... Pm-3m (221)
Energy above the most stable polymorph in this dataset ... 1965 meV/atom
Size of the total moment ... 14.0 μB per formula unit

abc: 5.6569 5.6569 5.6569
angles: 90.00 90.00 90.00
Sites, in units of the cell vectors:
Y1 0.0000 0.0000 0.0000
Mn1 0.0000 0.0000 0.5000
Mn2 0.0000 0.5000 0.0000
Mn3 0.5000 0.0000 0.0000
O1 0.5000 0.5000 0.5000

***

# 5
This record from Alexandria describes YMn3O after structural relaxation. The functional is PBE+U.

Summary:
Space-group type ... Pm-3m (221)
Energy above the most stable polymorph in this dataset ... 0 meV/atom
Size of the total moment ... 11.8 μB per formula unit

abc: 4.5203 4.5203 4.5203
angles: 90.00 90.00 90.00
Sites, in units of the cell vectors:
Y1 0.0000 0.0000 0.0000
Mn1 0.0000 0.5000 0.5000
Mn2 0.5000 0.0000 0.5000
Mn3 0.5000 0.5000 0.0000
O1 0.5000 0.5000 0.5000

***

# 6
This record from Alexandria describes YMnO after structural relaxation. The functional is PBE+U.

Summary:
Space-group type ... P4/nmm (129)
Energy above the most stable polymorph in this dataset ... 0 meV/atom
Size of the total moment ... 3.9 μB per formula unit

abc: 3.3809 3.3809 8.5030
angles: 90.00 90.00 90.00
Sites, in units of the cell vectors:
Y1 0.2500 0.2500 0.1622
Y2 0.7500 0.7500 0.8378
Mn1 0.2500 0.2500 0.5794
Mn2 0.7500 0.7500 0.4206
O1 0.2500 0.2500 0.8824
O2 0.7500 0.7500 0.1176

***

# 7
This record from Alexandria describes YMn2O6 after structural relaxation. The functional is PBE+U.

Summary:
Space-group type ... P-31m (162)
Energy above the most stable polymorph in this dataset ... 251 meV/atom
Size of the total moment ... 5.0 μB per formula unit

abc: 5.4293 5.4293 4.3188
angles: 90.00 90.00 120.00
Sites, in units of the cell vectors:
Y1 0.0000 0.0000 0.0000
Mn1 0.3333 0.6667 0.0000
Mn2 0.6667 0.3333 0.0000
O1 0.0000 0.3730 0.2247
O2 0.0000 0.6270 0.7753
O3 0.3730 0.0000 0.2247
O4 0.3730 0.3730 0.7753
O5 0.6270 0.0000 0.7753
O6 0.6270 0.6270 0.2247

***

# 8
This record from Alexandria describes Y3Mn5O12 after structural relaxation. The functional is PBE+U.

Summary:
Space-group type ... Ia-3d (230)
VASP energy ... -645.8 eV/cell
Size of the total moment ... 20.0 μB per formula unit

abc: 10.8915 10.8915 10.8915
angles: 109.47 109.47 109.47
Sites, in units of the cell vectors:
Y1 0.1250 0.2500 0.3750
Y2 0.1250 0.3750 0.7500
Y3 0.2500 0.3750 0.1250
Y4 0.2500 0.8750 0.6250
Y5 0.3750 0.1250 0.2500
Y6 0.3750 0.7500 0.1250
Y7 0.6250 0.2500 0.8750
Y8 0.6250 0.8750 0.7500
Y9 0.7500 0.1250 0.3750
Y10 0.7500 0.6250 0.8750
Y11 0.8750 0.6250 0.2500
Y12 0.8750 0.7500 0.6250
Mn1 0.0000 0.0000 0.0000
Mn2 0.0000 0.0000 0.5000
Mn3 0.0000 0.5000 0.0000
Mn4 0.0000 0.5000 0.5000
Mn5 0.1250 0.7500 0.8750
Mn6 0.1250 0.8750 0.2500
Mn7 0.2500 0.1250 0.8750
Mn8 0.2500 0.6250 0.3750
Mn9 0.3750 0.2500 0.6250
Mn10 0.3750 0.6250 0.7500
Mn11 0.5000 0.0000 0.0000
Mn12 0.5000 0.0000 0.5000
Mn13 0.5000 0.5000 0.0000
Mn14 0.5000 0.5000 0.5000
Mn15 0.6250 0.3750 0.2500
Mn16 0.6250 0.7500 0.3750
Mn17 0.7500 0.3750 0.6250
Mn18 0.7500 0.8750 0.1250
Mn19 0.8750 0.1250 0.7500
Mn20 0.8750 0.2500 0.1250
O1 0.0323 0.2025 0.1253
O2 0.0323 0.3297 0.9070
O3 0.0773 0.7025 0.6703
O4 0.0773 0.8747 0.4070
O5 0.0930 0.6253 0.4227
O6 0.0930 0.9677 0.6703
O7 0.1253 0.0323 0.2025
O8 0.1253 0.5930 0.9227
O9 0.1703 0.2025 0.5773
O10 0.1703 0.4677 0.5930
O11 0.2025 0.1253 0.0323
O12 0.2025 0.5773 0.1703
O13 0.2975 0.3297 0.9227
O14 0.2975 0.4677 0.3747
O15 0.3297 0.9070 0.0323
O16 0.3297 0.9227 0.2975
O17 0.3747 0.2975 0.4677
O18 0.3747 0.5773 0.9070
O19 0.4070 0.0773 0.8747
O20 0.4070 0.8297 0.5323
O21 0.4227 0.0930 0.6253
O22 0.4227 0.8297 0.7975
O23 0.4677 0.3747 0.2975
O24 0.4677 0.5930 0.1703
O25 0.5323 0.4070 0.8297
O26 0.5323 0.6253 0.7025
O27 0.5773 0.1703 0.2025
O28 0.5773 0.9070 0.3747
O29 0.5930 0.1703 0.4677
O30 0.5930 0.9227 0.1253
O31 0.6253 0.4227 0.0930
O32 0.6253 0.7025 0.5323
O33 0.6703 0.0773 0.7025
O34 0.6703 0.0930 0.9677
O35 0.7025 0.5323 0.6253
O36 0.7025 0.6703 0.0773
O37 0.7975 0.4227 0.8297
O38 0.7975 0.8747 0.9677
O39 0.8297 0.5323 0.4070
O40 0.8297 0.7975 0.4227
O41 0.8747 0.4070 0.0773
O42 0.8747 0.9677 0.7975
O43 0.9070 0.0323 0.3297
O44 0.9070 0.3747 0.5773
O45 0.9227 0.1253 0.5930
O46 0.9227 0.2975 0.3297
O47 0.9677 0.6703 0.0930
O48 0.9677 0.7975 0.8747

***

# 9
This record from Alexandria describes YMn7O12 after structural relaxation. The functional is PBE+U.

Summary:
Space-group type ... Im-3 (204)
VASP energy ... -154.4 eV/cell
Size of the total moment ... 28.0 μB per formula unit

abc: 6.5311 6.5311 6.5311
angles: 109.47 109.47 109.47
Sites, in units of the cell vectors:
Y1 0.0000 0.0000 0.0000
Mn1 0.0000 0.0000 0.5000
Mn2 0.0000 0.5000 0.0000
Mn3 0.0000 0.5000 0.5000
Mn4 0.5000 0.0000 0.0000
Mn5 0.5000 0.0000 0.5000
Mn6 0.5000 0.5000 0.0000
Mn7 0.5000 0.5000 0.5000
O1 0.1306 0.8266 0.3040
O2 0.1734 0.3040 0.4774
O3 0.1734 0.6960 0.8694
O4 0.3040 0.1306 0.8266
O5 0.3040 0.4774 0.1734
O6 0.4774 0.1734 0.3040
O7 0.5226 0.8266 0.6960
O8 0.6960 0.5226 0.8266
O9 0.6960 0.8694 0.1734
O10 0.8266 0.3040 0.1306
O11 0.8266 0.6960 0.5226
O12 0.8694 0.1734 0.6960

***

Q: Which value of size of the total moment does entry 3 give?
A: 8.0 μB per formula unit